Material: KPb3N
Method: DFT, SCAN
State: single point on PBEsol structure

Cell and atoms, written as extended XYZ:
```
5
Lattice="5.981 0.000 0.000 0.000 5.981 0.000 0.000 0.000 5.981" Properties=species:S:1:pos:R:3 pbc="T T T"
K 0.000 0.000 0.000
Pb 0.000 0.000 2.991
Pb 0.000 2.991 0.000
Pb 2.991 0.000 0.000
N 2.991 2.991 2.991
```

Summary:
- E: -47.153 eV per atom
- Space-group type: No. 221
- Raw formation energy: 1839 meV per atom

***

Material: SrSnRh3
Method: DFT, SCAN
State: single point on PBEsol structure

Cell and atoms, written as extended XYZ:
```
5
Lattice="4.832 0.000 0.000 0.000 4.832 0.000 0.000 0.000 4.832" Properties=species:S:1:pos:R:3 pbc="T T T"
Sr 0.000 0.000 0.000
Sn 2.416 2.416 2.416
Rh 0.000 0.000 2.416
Rh 0.000 2.416 0.000
Rh 2.416 0.000 0.000
```

Summary:
- E: -30.259 eV per atom
- Formation energy: 1.64 eV per atom
- Space-group type: No. 221